A relaxed structure of DyY3ErSc. Source: Alexandria via LeMat-Bulk, functional PBE.

Computed properties:
ΔH_f (0 K)   0.04 eV per atom

a = 4.9462 Å, b = 14.8998 Å, c = 9.9170 Å
α = 90.00°, β = 90.00°, γ = 90.00°
Closest atoms and distances in Å follow each position.
Space group Cmcm (No. 63)
Asymmetric unit:
1 Dy 0.0000 0.0025 0.2500 x4  6 Y 3.47-3.55, 2 Sc 3.47, 4 Er 3.50
2 Y 0.0000 0.1662 0.0012 x8  2 Dy 3.47-3.54, 5 Y 3.49-3.51, 3 Sc 3.49-3.53, 2 Er 3.50
3 Y 0.0000 0.3317 0.2500 x4  6 Y 3.49-3.51, 2 Sc 3.49, 2 Er 3.53, 2 Dy 3.55
4 Er 0.0000 0.5000 0.0000 x4  6 Y 3.50-3.53, 4 Dy 3.50, 2 Sc 3.50
5 Sc 0.0000 0.3339 0.7500 x4  2 Dy 3.47, 8 Y 3.49-3.53, 2 Er 3.50